Computed, not measured: an optimized crystal structure of NpIn2Ga at the PBE level of DFT.

Values from the calculation:
SG = No. 123
M_tot = 4.41 μB per cell
ΔE_f = 0.172 eV/atom
offset from the most stable computed form = 0.201 eV per atom
Fermi-level density of states = 6.8 states/eV per cell

extended XYZ file:
```
4
Lattice="2.914 0.000 0.000 0.000 5.839 0.000 0.000 0.000 5.839" Properties=species:S:1:pos:R:3 pbc="T T T"
In 0.000 2.920 0.000
In 0.000 0.000 2.920
Ga 1.457 2.920 2.920
Np 1.457 0.000 0.000
```